# RbCr (PBE-GGA, optimized geometry)
# - formation enthalpy at 0 K (eV/atom) = 0.949
# - energy above the most stable polymorph in this dataset (meV per atom) = 123
# - DOS(E_F) (states/eV/f.u.) = 2.57
# - magnetic moment (μB/f.u.) = 0.00
data_RbCr
_chemical_formula_sum 'Rb8 Cr8'
_cell_length_a 12.7648
_cell_length_b 12.7648
_cell_length_c 4.2699
_cell_angle_alpha 90.00
_cell_angle_beta 90.00
_cell_angle_gamma 90.00
_space_group_name_H-M_alt 'I 4/m'
_space_group_IT_number 87
_space_group_name_Hall '-I 4'
loop_
_atom_site_label
_atom_site_type_symbol
_atom_site_fract_x
_atom_site_fract_y
_atom_site_fract_z
Rb1 Rb 0.1053 0.2118 0.0000
Cr1 Cr 0.0174 0.4276 0.5000